No. 1
## PmReH5 (PBE-GGA)

Data for a geometry-optimized PmReH5 structure.

## Properties
- DFT total energy: -68.02 eV for the cell shown
- Total magnetic moment: 0.81 μB per cell

Unit cell a=5.3950 b=7.0896 c=3.8759 alpha=90.00 beta=90.00 gamma=90.00
Space group Imm2 (No. 44)
Unique sites:
Pm 0.0000 0.0000 0.0000 (multiplicity 2)
Re 0.0000 0.5000 0.9715 (multiplicity 2)
H 0.0000 0.2911 0.7684 (multiplicity 4)
H 0.0000 0.5000 0.4688 (multiplicity 2)
H 0.1827 0.0000 0.4964 (multiplicity 4)

=====

No. 2
## PmReH (PBE-GGA)

Data for a geometry-optimized PmReH structure.

## Properties
- DFT total energy: -82.10 eV for the cell shown
- Total magnetic moment: 0.00 μB per cell

Unit cell a=16.6300 b=3.5935 c=3.5002 alpha=90.00 beta=90.00 gamma=90.00
Space group Pnma (No. 62)
Unique sites:
Pm 0.1597 0.2500 0.2480 (multiplicity 4)
Re 0.0020 0.7500 0.2499 (multiplicity 4)
H 0.1967 0.7500 0.7468 (multiplicity 4)

=====

No. 3
## PmH4Rh2 (PBE-GGA)

Data for a geometry-optimized PmH4Rh2 structure.

## Properties
- DFT total energy: -141.05 eV for the cell shown
- Total magnetic moment: 0.00 μB per cell
- Distance to the lowest polymorph of the same formula: 0.000 eV per atom

Unit cell a=5.2787 b=7.4293 c=7.9729 alpha=90.00 beta=90.00 gamma=90.00
Space group Cccm (No. 66)
Unique sites:
Pm 0.0000 0.0000 0.2500 (multiplicity 4)
H 0.1942 0.1095 0.0000 (multiplicity 8)
H 0.2500 0.2500 0.3660 (multiplicity 8)
Rh 0.9995 0.3083 0.0000 (multiplicity 8)